No. 1
14
Lattice="2.327 -9.591 0.000 2.327 9.591 0.000 0.000 0.000 7.055" Properties=species:S:1:pos:R:3 comment="Ac2Cu2Ge3 | the Alexandria database | PBE | optimized geometry" n_ef_per_ev_cell=2.518 relative_energy_ev_per_fu=0.00 spacegroup=Cmcm pbc="T T T"
Ac 2.327 8.595 5.291
Ac 2.327 6.445 1.764
Ac 2.327 -6.445 5.291
Ac 2.327 -8.595 1.764
Cu 2.327 3.510 0.511
Cu 2.327 3.510 3.017
Cu 2.327 -3.510 4.038
Cu 2.327 -3.510 6.545
Ge 2.327 5.339 5.291
Ge 2.327 1.192 4.012
Ge 2.327 1.192 6.571
Ge 2.327 -1.192 0.484
Ge 2.327 -1.192 3.043
Ge 2.327 -5.339 1.764

***

No. 2
7
Lattice="5.853 -2.295 0.000 5.853 2.295 0.000 -2.820 0.000 7.041" Properties=species:S:1:pos:R:3 comment="Ac3Cu2Ge2 | the Alexandria database | PBE | optimized geometry" n_ef_per_ev_cell=5.580 relative_energy_ev_per_fu=0.25 spacegroup=C2/m pbc="T T T"
Ac 0.000 0.000 0.000
Ac 0.336 0.000 4.491
Ac 8.550 0.000 2.551
Cu 3.338 0.000 0.515
Cu 5.548 0.000 6.526
Ge 3.747 0.000 4.675
Ge 5.139 0.000 2.366

***

No. 3
7
Lattice="2.147 -6.634 0.000 2.147 6.634 0.000 0.000 0.000 4.301" Properties=species:S:1:pos:R:3 comment="AcCu4Ge2 | the Alexandria database | PBE | optimized geometry" total_energy_ha_per_atom=-0.167 n_ef_per_ev_cell=2.158 spacegroup=Cmmm pbc="T T T"
Ac 0.000 0.000 0.000
Cu 2.147 4.053 2.150
Cu 2.147 2.595 0.000
Cu 2.147 -2.595 0.000
Cu 2.147 -4.053 2.150
Ge 2.147 1.375 2.150
Ge 2.147 -1.375 2.150

***

No. 4
11
Lattice="-2.184 2.214 12.603 2.184 -2.214 12.603 2.184 2.214 -12.603" Properties=species:S:1:pos:R:3 comment="Ac3Cu4Ge4 | the Alexandria database | PBE | optimized geometry" total_energy_ha_per_atom=-0.176 n_ef_per_ev_cell=6.654 spacegroup=Immm pbc="T T T"
Ac 0.000 0.000 0.000
Ac 2.184 0.000 3.771
Ac 0.000 2.214 8.832
Cu 2.184 0.000 7.587
Cu 0.000 0.000 11.324
Cu 0.000 0.000 13.881
Cu 0.000 2.214 5.016
Ge 0.000 0.000 6.296
Ge 2.184 0.000 10.117
Ge 0.000 2.214 2.485
Ge 0.000 0.000 18.909

***

No. 5
9
Lattice="5.960 -2.189 0.000 5.960 2.189 0.000 -2.981 0.000 8.356" Properties=species:S:1:pos:R:3 comment="Ac3Cu2Ge4 | the Alexandria database | PBE | optimized geometry" n_ef_per_ev_cell=4.497 relative_energy_ev_per_fu=0.86 spacegroup=C2/m pbc="T T T"
Ac 0.000 0.000 0.000
Ac 3.594 0.000 2.694
Ac 5.345 0.000 5.662
Cu 1.819 0.000 5.624
Cu 7.120 0.000 2.732
Ge 0.226 0.000 3.354
Ge 0.562 0.000 7.813
Ge 8.377 0.000 0.543
Ge 8.713 0.000 5.002

***

No. 6
11
Lattice="0.000 4.911 7.143 3.022 0.000 7.143 3.022 4.911 0.000" Properties=species:S:1:pos:R:3 comment="Ac2Cu5Ge4 | the Alexandria database | PBE | optimized geometry" total_energy_ha_per_atom=-0.168 n_ef_per_ev_cell=4.903 spacegroup=Fmmm pbc="T T T"
Ac 3.022 4.911 2.030
Ac 3.022 4.911 12.256
Cu 1.511 2.455 0.000
Cu 1.511 2.455 3.571
Cu 1.511 2.455 7.143
Cu 3.022 4.911 7.143
Cu 4.533 7.366 10.714
Ge 3.022 3.503 5.197
Ge 3.022 3.503 9.088
Ge 3.022 6.319 5.197
Ge 3.022 6.319 9.088

***

No. 7
12
Lattice="0.000 4.407 7.577 4.256 0.000 7.577 4.256 4.407 0.000" Properties=species:S:1:pos:R:3 comment="Ac2Cu3Ge | the Alexandria database | PBE | optimized geometry" total_energy_ha_per_atom=-0.167 n_ef_per_ev_cell=8.363 spacegroup=Fmmm pbc="T T T"
Ac 6.485 4.407 7.577
Ac 2.128 2.204 3.789
Ac 6.384 6.611 11.366
Ac 2.027 4.407 7.577
Cu 4.256 4.407 2.552
Cu 4.256 2.216 6.307
Cu 4.256 2.216 8.847
Cu 4.256 6.598 6.307
Cu 4.256 6.598 8.847
Cu 4.256 4.407 12.603
Ge 4.256 4.407 5.081
Ge 4.256 4.407 10.073

***

No. 8
9
Lattice="5.720 -2.193 0.000 5.720 2.193 0.000 -2.204 0.000 8.547" Properties=species:S:1:pos:R:3 comment="Ac3Cu4Ge2 | the Alexandria database | PBE | optimized geometry" total_energy_ha_per_atom=-0.171 n_ef_per_ev_cell=3.908 spacegroup=C2/m pbc="T T T"
Ac 0.000 0.000 0.000
Ac 3.091 0.000 2.856
Ac 6.143 0.000 5.690
Cu -0.224 0.000 3.326
Cu 1.125 0.000 8.058
Cu 8.110 0.000 0.488
Cu 9.458 0.000 5.220
Ge 2.874 0.000 6.158
Ge 6.361 0.000 2.389

***

No. 9
11
Lattice="10.102 -2.601 0.000 10.102 2.601 0.000 -1.540 0.000 7.527" Properties=species:S:1:pos:R:3 comment="Ac8CuGe2 | the Alexandria database | PBE | optimized geometry" total_energy_ha_per_atom=-0.162 n_ef_per_ev_cell=12.520 spacegroup=C2/m pbc="T T T"
Ac 0.005 0.000 2.097
Ac 2.979 0.000 6.326
Ac 6.099 0.000 3.821
Ac 8.191 0.000 0.188
Ac 10.473 0.000 7.339
Ac 12.564 0.000 3.706
Ac 15.684 0.000 1.201
Ac 18.658 0.000 5.430
Cu 9.332 0.000 3.763
Ge 3.369 0.000 1.902
Ge 15.294 0.000 5.625

***

No. 10
4
Lattice="5.397 0.000 0.000 0.000 5.397 0.000 0.000 0.000 3.951" Properties=species:S:1:pos:R:3 comment="Ac2CuGe | the Alexandria database | PBE | optimized geometry" n_ef_per_ev_cell=3.258 relative_energy_ev_per_fu=0.37 spacegroup=P4/mmm pbc="T T T"
Ac 0.000 2.699 0.000
Ac 2.699 0.000 0.000
Cu 0.000 0.000 1.975
Ge 2.699 2.699 1.975

***

No. 11
4
Lattice="0.000 3.854 3.854 3.854 0.000 3.854 3.854 3.854 0.000" Properties=species:S:1:pos:R:3 comment="Ac2CuGe | the Alexandria database | PBE | optimized geometry" n_ef_per_ev_cell=3.600 relative_energy_ev_per_fu=0.31 spacegroup=Fm-3m pbc="T T T"
Ac 1.927 1.927 1.927
Ac 5.781 5.781 5.781
Cu 0.000 0.000 0.000
Ge 3.854 3.854 3.854

***

No. 12
20
Lattice="5.939 -6.327 0.000 5.939 6.327 0.000 -3.381 0.000 5.369" Properties=species:S:1:pos:R:3 comment="Ac2Cu3Ge5 | the Alexandria database | PBE | optimized geometry" n_ef_per_ev_cell=4.998 relative_energy_ev_per_fu=0.00 spacegroup=C2/c pbc="T T T"
Ac 2.118 1.577 1.338
Ac 0.428 -1.577 4.023
Ac 8.068 1.577 1.346
Ac 6.378 -1.577 4.031
Cu 3.232 4.698 2.036
Cu 6.955 4.698 0.649
Cu 5.093 0.012 1.342
Cu 3.403 -0.012 4.027
Cu 1.541 -4.698 4.720
Cu 5.264 -4.698 3.333
Ge 3.403 6.320 4.027
Ge 3.403 3.161 4.027
Ge 1.414 1.443 4.640
Ge 5.093 3.136 1.342
Ge 3.105 -1.443 1.955
Ge 5.391 1.443 3.414
Ge 3.403 -3.136 4.027
Ge 7.082 -1.443 0.730
Ge 5.093 -3.161 1.342
Ge 5.093 -6.320 1.342

***

No. 13
14
Lattice="-2.306 5.351 6.311 2.306 -5.351 6.311 2.306 5.351 -6.311" Properties=species:S:1:pos:R:3 comment="Ac3Cu2Ge9 | the Alexandria database | PBE | optimized geometry" total_energy_ha_per_atom=-0.174 n_ef_per_ev_cell=5.070 spacegroup=Immm pbc="T T T"
Ac 0.000 0.000 0.000
Ac 0.000 0.000 4.033
Ac 0.000 0.000 8.588
Cu 2.306 2.937 0.000
Cu 0.000 2.415 6.311
Ge 2.306 -1.524 2.036
Ge 2.306 -2.428 4.686
Ge 2.306 1.524 2.036
Ge 0.000 2.923 1.625
Ge 0.000 5.351 0.000
Ge 2.306 2.428 4.686
Ge 0.000 3.827 4.275
Ge 0.000 7.780 1.625
Ge 0.000 6.875 4.275

***

Looking at total magnetic moment for the records above, in order, we have 0.00; 0.00; 0.00; 0.00; 0.00; 0.00; 0.00; 0.00; 0.00; 0.00; 0.00; 0.00; 0.00 μB per cell.